# 1
DFT (GGA+U) results for crystalline VBr2O at its relaxed geometry.

Lattice parameters (Å, degrees): 7.2000 7.2000 7.2000 93.68 93.68 150.66
Last column: nearest neighbours and their distance in Å.
Fractional positions:
V 0.0000 0.0000 0.0000  2 O 1.82
V 0.7500 0.2500 0.5000  2 O 1.82
Br 0.3750 0.2125 0.3375  2 V 2.65, 2 O 2.95
Br 0.7875 0.1250 0.1625  2 V 2.65, 2 O 2.95
Br 0.8750 0.0375 0.6625  2 V 2.65, 2 O 2.95
Br 0.9625 0.6250 0.8375  2 V 2.65, 2 O 2.95
O 0.2500 0.7500 0.5000  2 V 1.82
O 0.5000 0.5000 0.0000  2 V 1.82

* crystal system: tetragonal

# 2
DFT (GGA+U) results for crystalline VBrO3 at its relaxed geometry.

Lattice parameters (Å, degrees): 3.8799 3.8799 3.8799 90.00 90.00 90.00
Last column: nearest neighbours and their distance in Å.
Fractional positions:
V 0.0000 0.0000 0.0000  6 O 1.94
Br 0.5000 0.5000 0.5000  12 O 2.74
O 0.0000 0.0000 0.5000  2 V 1.94
O 0.0000 0.5000 0.0000  2 V 1.94
O 0.5000 0.0000 0.0000  2 V 1.94

* crystal system: cubic

# 3
DFT (GGA+U) results for crystalline VBrO at its relaxed geometry.

Lattice parameters (Å, degrees): 3.3336 3.3336 6.1429 90.00 90.00 120.00
Last column: nearest neighbours and their distance in Å.
Fractional positions:
V 0.0000 0.0000 0.0000  3 O 2.03
Br 0.3333 0.6667 0.6996  3 V 2.67
O 0.6667 0.3333 0.1051  3 V 2.03

* crystal system: trigonal

# 4
DFT (GGA+U) results for crystalline VBrO3 at its relaxed geometry.

Lattice parameters (Å, degrees): 4.0378 4.0378 4.0378 90.00 90.00 90.00
Last column: nearest neighbours and their distance in Å.
Fractional positions:
V 0.0000 0.0000 0.0000  12 O 2.86
Br 0.5000 0.5000 0.5000  6 O 2.02
O 0.0000 0.5000 0.5000  2 Br 2.02
O 0.5000 0.0000 0.5000  2 Br 2.02
O 0.5000 0.5000 0.0000  2 Br 2.02

* crystal system: cubic

# 5
DFT (GGA+U) results for crystalline VBr2O at its relaxed geometry.

Lattice parameters (Å, degrees): 4.5726 4.5726 4.5726 60.00 60.00 60.00
Last column: nearest neighbours and their distance in Å.
Fractional positions:
V 0.0000 0.0000 0.0000  8 Br 2.80
Br 0.2500 0.2500 0.2500  4 O 2.80, 4 V 2.80
Br 0.7500 0.7500 0.7500  4 O 2.80, 4 V 2.80
O 0.5000 0.5000 0.5000  8 Br 2.80

* crystal system: cubic

# 6
DFT (GGA+U) results for crystalline VBrO at its relaxed geometry.

Lattice parameters (Å, degrees): 3.4706 3.8601 9.1814 90.00 90.00 90.00
Last column: nearest neighbours and their distance in Å.
Fractional positions:
V 0.2500 0.2500 0.0993  4 O 2.01-2.14
V 0.7500 0.7500 0.9007  4 O 2.01-2.14
Br 0.2500 0.7500 0.6954  2 V 2.56
Br 0.7500 0.2500 0.3046  2 V 2.56
O 0.2500 0.7500 0.0365  4 V 2.01-2.14
O 0.7500 0.2500 0.9635  4 V 2.01-2.14

* crystal system: orthorhombic

# 7
DFT (GGA+U) results for crystalline VBr2O at its relaxed geometry.

Lattice parameters (Å, degrees): 7.2625 7.2625 7.2625 31.88 31.88 31.88
Last column: nearest neighbours and their distance in Å.
Fractional positions:
V 0.0000 0.0000 0.0000  6 Br 2.70
Br 0.4011 0.4011 0.4011  1 O 2.04
Br 0.5989 0.5989 0.5989  1 O 2.04
O 0.5000 0.5000 0.5000  2 Br 2.04

* crystal system: trigonal

# 8
DFT (GGA+U) results for crystalline YVBrO4 at its relaxed geometry.

Lattice parameters (Å, degrees): 6.7496 6.7496 6.7858 101.50 101.50 56.18
Last column: nearest neighbours and their distance in Å.
Fractional positions:
Y 0.2055 0.2055 0.3408  6 O 2.22-2.43
Y 0.7945 0.7945 0.6592  6 O 2.22-2.43
V 0.1320 0.1320 0.7596  4 O 1.71-1.79
V 0.8680 0.8680 0.2404  4 O 1.71-1.79
Br 0.4752 0.4752 0.8261  1 Br 2.30
Br 0.5248 0.5248 0.1739  1 Br 2.30
O 0.0141 0.0141 0.2685  1 V 1.71
O 0.0341 0.6097 0.3758  1 V 1.79
O 0.1990 0.1990 0.0103  1 V 1.71
O 0.3903 0.9659 0.6242  1 V 1.79
O 0.6097 0.0341 0.3758  1 V 1.79
O 0.8010 0.8010 0.9897  1 V 1.71
O 0.9659 0.3903 0.6242  1 V 1.79
O 0.9859 0.9859 0.7315  1 V 1.71

* crystal system: monoclinic

no.,calculated volume (A^3/atom),VASP energy (eV/cell)
1,22.114,-38.92
2,11.681,-26.98
3,19.706,-17.97
4,13.166,-21.65
5,16.901,-14.47
6,20.501,-37.35
7,23.734,-15.87
8,17.871,-101.82